1.
# CaCu

A relaxed structure of CaCu (PBE, Alexandria via LeMat-Bulk).

Cell: 4.8416 4.8416 4.8416 Å, 62.51 62.51 62.51°
Element x y z (fractional)
Ca: 0.1318 0.1318 0.1318
Ca: 0.8682 0.8682 0.8682
Cu: 0.3873 0.3873 0.3873
Cu: 0.6127 0.6127 0.6127

Properties
crystal system	trigonal
formation energy	0.18	eV per atom

2.
# CaCu

A relaxed structure of CaCu (PBE, Alexandria via LeMat-Bulk).

Cell: 5.6902 5.8857 11.1123 Å, 90.00 90.00 90.00°
Element x y z (fractional)
Ca: 0.1365 0.0762 0.4751
Ca: 0.1518 0.6477 0.6867
Ca: 0.3482 0.3523 0.1867
Ca: 0.3635 0.9238 0.9751
Ca: 0.6365 0.4238 0.5249
Ca: 0.6518 0.8523 0.3133
Ca: 0.8482 0.1477 0.8133
Ca: 0.8635 0.5762 0.0249
Cu: 0.1291 0.5832 0.3999
Cu: 0.1450 0.8456 0.2218
Cu: 0.3550 0.1544 0.7218
Cu: 0.3709 0.4168 0.8999
Cu: 0.6291 0.9168 0.6001
Cu: 0.6450 0.6544 0.7782
Cu: 0.8550 0.3456 0.2782
Cu: 0.8709 0.0832 0.1001

Properties
crystal system	orthorhombic
formation energy	-0.11	eV per atom

3.
# CaCu

A relaxed structure of CaCu (PBE, Alexandria via LeMat-Bulk).

Cell: 7.3179 7.3179 7.3179 Å, 33.64 33.64 33.64°
Element x y z (fractional)
Ca: 0.0873 0.0873 0.0873
Ca: 0.9127 0.9127 0.9127
Cu: 0.3325 0.3325 0.3325
Cu: 0.6675 0.6675 0.6675

Properties
crystal system	trigonal
formation energy	-0.12	eV per atom

4.
# CaDy5Cu6

A relaxed structure of CaDy5Cu6 (PBE, Alexandria via LeMat-Bulk).

Cell: 7.8006 7.8006 6.9410 Å, 90.00 90.00 143.26°
Element x y z (fractional)
Ca: 0.0000 0.0000 0.0000
Dy: 0.0000 0.0000 0.5000
Dy: 0.3345 0.6655 0.0000
Dy: 0.3341 0.6659 0.5000
Dy: 0.6655 0.3345 0.0000
Dy: 0.6659 0.3341 0.5000
Cu: 0.1723 0.8277 0.2544
Cu: 0.1723 0.8277 0.7456
Cu: 0.5000 0.5000 0.2648
Cu: 0.5000 0.5000 0.7352
Cu: 0.8277 0.1723 0.2544
Cu: 0.8277 0.1723 0.7456

Properties
crystal system	orthorhombic
formation energy	-0.22	eV per atom

5.
# CaDy2Cu9

A relaxed structure of CaDy2Cu9 (PBE, Alexandria via LeMat-Bulk).

Cell: 8.8373 8.8373 8.8373 Å, 34.06 34.06 34.06°
Element x y z (fractional)
Ca: 0.0000 0.0000 0.0000
Dy: 0.1410 0.1410 0.1410
Dy: 0.8590 0.8590 0.8590
Cu: 0.0822 0.5825 0.5825
Cu: 0.3325 0.3325 0.3325
Cu: 0.4175 0.4175 0.9178
Cu: 0.4175 0.9178 0.4175
Cu: 0.5000 0.5000 0.5000
Cu: 0.5825 0.0822 0.5825
Cu: 0.5825 0.5825 0.0822
Cu: 0.6675 0.6675 0.6675
Cu: 0.9178 0.4175 0.4175

Properties
crystal system	trigonal
formation energy	-0.17	eV per atom

6.
# CaDy3Cu4

A relaxed structure of CaDy3Cu4 (PBE, Alexandria via LeMat-Bulk).

Cell: 4.9301 4.9301 6.9493 Å, 90.00 90.00 90.00°
Element x y z (fractional)
Ca: 0.0000 0.0000 0.0000
Dy: 0.0000 0.0000 0.5000
Dy: 0.5000 0.5000 0.0000
Dy: 0.5000 0.5000 0.5000
Cu: 0.0000 0.5000 0.2624
Cu: 0.0000 0.5000 0.7376
Cu: 0.5000 0.0000 0.2624
Cu: 0.5000 0.0000 0.7376

Properties
crystal system	tetragonal
formation energy	-0.20	eV per atom

7.
# CaDy2Ga2Cu2

A relaxed structure of CaDy2Ga2Cu2 (PBE, Alexandria via LeMat-Bulk).

Cell: 9.7259 9.7259 9.7259 Å, 26.20 26.20 26.20°
Element x y z (fractional)
Ca: 0.0000 0.0000 0.0000
Dy: 0.1241 0.1241 0.1241
Dy: 0.8759 0.8759 0.8759
Ga: 0.2595 0.2595 0.2595
Ga: 0.7405 0.7405 0.7405
Cu: 0.4046 0.4046 0.4046
Cu: 0.5954 0.5954 0.5954

Properties
crystal system	trigonal
formation energy	-0.34	eV per atom

8.
# CaDy2Cu2Ge2

A relaxed structure of CaDy2Cu2Ge2 (PBE, Alexandria via LeMat-Bulk).

Cell: 9.6208 9.6208 9.6208 Å, 26.08 26.08 26.08°
Element x y z (fractional)
Ca: 0.0000 0.0000 0.0000
Dy: 0.1270 0.1270 0.1270
Dy: 0.8730 0.8730 0.8730
Cu: 0.4054 0.4054 0.4054
Cu: 0.5946 0.5946 0.5946
Ge: 0.2579 0.2579 0.2579
Ge: 0.7421 0.7421 0.7421

Properties
crystal system	trigonal
formation energy	-0.47	eV per atom